No. 1
This record from Alexandria describes a geometry-optimized CaAcPmZn structure. The functional is PBE.

a b c (Å): 5.6760 5.6760 5.6760
angles (deg): 60.00 60.00 60.00
Atoms (fractional coordinates):
1 Ac 0.0000 0.0000 0.0000
2 Ca 0.7500 0.7500 0.7500
3 Zn 0.2500 0.2500 0.2500
4 Pm 0.5000 0.5000 0.5000

Calculated values
density of states at the Fermi level	4.70	states/eV/cell
DFT formation energy	0.057	eV/atom
space-group type	F-43m, No. 216

***

No. 2
This record from Alexandria describes a geometry-optimized Ca4Ac6Pr structure. The functional is PBE.

a b c (Å): 6.2043 6.2035 28.4499
angles (deg): 90.00 90.00 120.00
Atoms (fractional coordinates):
1 Ca 0.8335 0.6669 0.5446
2 Ca 0.4993 0.9985 0.1266
3 Ca 0.1665 0.3331 0.4554
4 Ca 0.5007 0.0015 0.8734
5 Ca 0.8335 0.6669 0.9554
6 Ca 0.1665 0.3331 0.0446
7 Ca 0.5007 0.0015 0.6266
8 Ca 0.4993 0.9985 0.3734
9 Ac 0.5000 0.0000 0.0000
10 Ac 0.5000 0.0000 0.5000
11 Ac 0.1657 0.3314 0.3166
12 Ac 0.8343 0.6686 0.6834
13 Ac 0.8343 0.6686 0.8166
14 Ac 0.1657 0.3314 0.1834
15 Ac 0.8328 0.6655 0.4036
16 Ac 0.1672 0.3345 0.5964
17 Ac 0.1672 0.3345 0.9036
18 Ac 0.8328 0.6655 0.0964
19 Ac 0.4988 0.9976 0.2500
20 Ac 0.5012 0.0024 0.7500
21 Pr 0.8323 0.6646 0.2500
22 Pr 0.1677 0.3354 0.7500

Calculated values
density of states at the Fermi level	29.69	states/eV/cell
DFT formation energy	0.082	eV/atom
space-group type	Cmcm, No. 63

***

No. 3
This record from Alexandria describes a geometry-optimized CaAc2Pr5 structure. The functional is PBE.

a b c (Å): 3.7864 11.9232 9.3830
angles (deg): 129.45 101.64 90.00
Atoms (fractional coordinates):
1 Ca 0.0000 0.0000 0.0000
2 Ac 0.2594 0.7594 0.5188
3 Ac 0.7406 0.2406 0.4812
4 Pr 0.0000 0.5000 0.0000
5 Pr 0.6294 0.4026 0.2588
6 Pr 0.3706 0.5974 0.7412
7 Pr 0.6294 0.8563 0.2588
8 Pr 0.3706 0.1437 0.7412

Calculated values
density of states at the Fermi level	11.49	states/eV/cell
DFT formation energy	0.070	eV/atom
space-group type	Immm, No. 71

***

No. 4
This record from Alexandria describes a geometry-optimized CaAc8Pr2 structure. The functional is PBE.

a b c (Å): 6.4189 9.1610 9.1610
angles (deg): 87.62 79.93 79.93
Atoms (fractional coordinates):
1 Ca 0.0000 0.0000 0.0000
2 Ac 0.7855 0.1373 0.6529
3 Ac 0.2145 0.3471 0.8627
4 Ac 0.8893 0.2707 0.2707
5 Ac 0.1107 0.7293 0.7293
6 Ac 0.7855 0.6529 0.1373
7 Ac 0.2145 0.8627 0.3471
8 Ac 0.2923 0.4168 0.4168
9 Ac 0.7077 0.5832 0.5832
10 Pr 0.4893 0.1321 0.1321
11 Pr 0.5107 0.8679 0.8679

Calculated values
density of states at the Fermi level	13.97	states/eV/cell
DFT formation energy	0.377	eV/atom
space-group type	C2/m, No. 12

***

No. 5
This record from Alexandria describes a geometry-optimized Ca2Ac12Pr structure. The functional is PBE.

a b c (Å): 7.1901 7.1901 28.1402
angles (deg): 90.00 90.00 90.00
Atoms (fractional coordinates):
1 Ca 0.5000 0.0000 0.2725
2 Ca 0.0000 0.5000 0.2725
3 Ca 0.0000 0.5000 0.7275
4 Ca 0.5000 0.0000 0.7275
5 Ac 0.5000 0.5000 0.7905
6 Ac 0.0000 0.0000 0.7905
7 Ac 0.6855 0.8145 0.8920
8 Ac 0.1855 0.6855 0.8920
9 Ac 0.0000 0.0000 0.3384
10 Ac 0.3145 0.8145 0.1080
11 Ac 0.8285 0.3285 0.5605
12 Ac 0.5000 0.5000 0.3384
13 Ac 0.3145 0.1855 0.8920
14 Ac 0.8145 0.6855 0.1080
15 Ac 0.3285 0.1715 0.5605
16 Ac 0.6715 0.1715 0.4395
17 Ac 0.0000 0.0000 0.6616
18 Ac 0.1715 0.3285 0.4395
19 Ac 0.1855 0.3145 0.1080
20 Ac 0.8285 0.6715 0.4395
21 Ac 0.6715 0.8285 0.5605
22 Ac 0.0000 0.0000 0.2095
23 Ac 0.1715 0.6715 0.5605
24 Ac 0.5000 0.5000 0.6616
25 Ac 0.8145 0.3145 0.8920
26 Ac 0.5000 0.5000 0.2095
27 Ac 0.3285 0.8285 0.4395
28 Ac 0.6855 0.1855 0.1080
29 Pr 0.5000 0.0000 0.0000
30 Pr 0.0000 0.5000 0.0000

Calculated values
density of states at the Fermi level	42.88	states/eV/cell
DFT formation energy	0.340	eV/atom
space-group type	P4/nbm, No. 125

***

No. 6
This record from Alexandria describes a geometry-optimized CaAc2Pr2 structure. The functional is PBE.

a b c (Å): 5.4873 6.7573 6.7573
angles (deg): 75.28 66.04 66.04
Atoms (fractional coordinates):
1 Ca 0.0000 0.0000 0.0000
2 Ac 0.2054 0.2946 0.2946
3 Ac 0.7946 0.7054 0.7054
4 Pr 0.5000 0.7027 0.2973
5 Pr 0.5000 0.2973 0.7027

Calculated values
density of states at the Fermi level	7.72	states/eV/cell
DFT formation energy	0.190	eV/atom
space-group type	Immm, No. 71

***

No. 7
This record from Alexandria describes a geometry-optimized Ca3Ac8Pr2 structure. The functional is PBE.

a b c (Å): 3.9534 13.1162 13.1165
angles (deg): 58.20 98.65 98.65
Atoms (fractional coordinates):
1 Ca 0.5000 0.0000 0.0000
2 Ca 0.0000 0.7419 0.2581
3 Ca 0.0000 0.2581 0.7419
4 Ac 0.4234 0.4211 0.4211
5 Ac 0.5766 0.5789 0.5789
6 Ac 0.8627 0.8632 0.8632
7 Ac 0.1373 0.1368 0.1368
8 Ac 0.6745 0.4278 0.9206
9 Ac 0.6745 0.9206 0.4278
10 Ac 0.3255 0.0794 0.5722
11 Ac 0.3255 0.5722 0.0794
12 Pr 0.2216 0.7224 0.7224
13 Pr 0.7784 0.2776 0.2776

Calculated values
density of states at the Fermi level	18.85	states/eV/cell
DFT formation energy	0.078	eV/atom
space-group type	C2/m, No. 12

***

No. 8
This record from Alexandria describes a geometry-optimized Ca5Ac4Pr structure. The functional is PBE.

a b c (Å): 3.8761 12.1464 15.3417
angles (deg): 140.77 97.26 90.00
Atoms (fractional coordinates):
1 Ca 0.1697 0.3955 0.3394
2 Ca 0.1693 0.7891 0.3386
3 Ca 0.8307 0.2109 0.6614
4 Ca 0.5000 0.5000 0.0000
5 Ca 0.8303 0.6045 0.6606
6 Ac 0.6581 0.0752 0.3161
7 Ac 0.0149 0.2773 0.0298
8 Ac 0.3419 0.9248 0.6839
9 Ac 0.9851 0.7227 0.9702
10 Pr 0.5000 0.0000 0.0000

Calculated values
density of states at the Fermi level	12.74	states/eV/cell
DFT formation energy	0.166	eV/atom
space-group type	C2/m, No. 12